No. 1
Here is a relaxed CrPd6Rh crystal from Alexandria. Energies are from PBE.

Total magnetic moment = 1.3 Bohr magnetons per cell
DOS(E_F) = 13.5 states/eV/f.u.
Energy of formation = 7 kJ/mol of formula units

Lattice parameters (Å, degrees): 3.9243 5.5434 5.5434 90.01 90.00 90.00
Each line ends with the local moment (μB).
Positions (direct):
Pd1 0.0000 0.7514 0.2486  -0.20
Pd2 0.0000 0.2486 0.7514  -0.20
Pd3 0.0000 0.7514 0.7514  -0.20
Pd4 0.5000 0.5000 0.0000  -0.19
Pd5 0.5000 0.0000 0.5000  -0.19
Pd6 0.0000 0.2486 0.2486  -0.20
Cr1 0.5000 0.0000 0.0000  3.08
Rh1 0.5000 0.5000 0.5000  -0.83

No. 2
Here is a relaxed V3SnH crystal from Alexandria. Energies are from PBE.

Total magnetic moment = 0.0 Bohr magnetons per cell
DOS(E_F) = 3.9 states/eV/f.u.
Raw total energy = -6.316 eV per atom

Lattice parameters (Å, degrees): 4.4733 4.4733 4.4733 106.36 106.36 106.36
Positions (direct):
V1 0.2835 0.6306 0.6306
V2 0.6306 0.6306 0.2835
V3 0.6306 0.2835 0.6306
H1 0.3500 0.3500 0.3500
Sn1 0.9804 0.9804 0.9804

No. 3
Here is a relaxed SmPa2MnS8 crystal from Alexandria. Energies are from PBE.

Total magnetic moment = 4.0 Bohr magnetons per cell
Raw total energy = -6.823 eV per atom

Lattice parameters (Å, degrees): 6.3107 6.0903 8.0322 90.01 90.01 86.27
Each line ends with the local moment (μB).
Positions (direct):
S1 0.8323 0.2113 0.7848  -0.02
S2 0.8325 0.2114 0.2152  -0.02
S3 0.3330 0.2929 0.5002  0.00
S4 0.3327 0.2853 0.9998  0.01
S5 0.6673 0.7147 0.0002  0.01
S6 0.6670 0.7071 0.4998  0.00
S7 0.1675 0.7886 0.7848  -0.02
S8 0.1677 0.7887 0.2152  -0.02
Pa1 0.4998 0.4997 0.2417  0.10
Pa2 0.5002 0.5003 0.7583  0.10
Sm1 0.0000 0.0000 0.5000  0.02
Mn1 0.0000 0.0000 0.0000  3.56

Which formula does entry 3 have? SmPa2MnS8

total magnetic moment of number 3 (SmPa2MnS8)? 4.0 Bohr magnetons per cell

Which formula does entry 3 have? SmPa2MnS8